The following is a PBE-GGA calculation of a relaxed CePrTh2As4 crystal, from the Alexandria database.

Results
For the calculated density, the calculation gives 7.93 g/cm3. As for the final energy: -6.966 eV/atom. The energy relative to the elements is -1.447 eV per atom.

Unit cell a=7.3749 b=4.2619 c=7.3847 alpha=90.00 beta=109.49 gamma=90.00
Last column: nearest neighbours and their distance in Å.
Fractional positions:
Ce (0.0000, 0.0000, 0.0000)  6 As 3.01
Pr (0.0000, 0.5000, 0.5000)  6 As 3.03
Th (0.5000, 0.0000, 0.5000)  6 As 3.02
Th (0.5000, 0.5000, 0.0000)  6 As 2.99
As (0.2507, 0.5000, 0.2475)  3 Th 2.99-3.02, 2 Ce 3.01, 1 Pr 3.03
As (0.2531, 0.0000, 0.7540)  3 Th 2.99-3.02, 1 Ce 3.01, 2 Pr 3.03
As (0.7469, 0.0000, 0.2460)  3 Th 2.99-3.02, 1 Ce 3.01, 2 Pr 3.03
As (0.7493, 0.5000, 0.7525)  3 Th 2.99-3.02, 2 Ce 3.01, 1 Pr 3.03

---

The following is a PBE-GGA calculation of a relaxed BaP2IO crystal, from the Alexandria database.

Results
For the calculated density, the calculation gives 4.69 g/cm3. The distance to the lowest polymorph of the same formula comes out at 0 meV/atom. As for the final energy: -3.769 eV/atom.

Unit cell a=5.2753 b=5.2753 c=4.3537 alpha=90.00 beta=90.00 gamma=90.00
Last column: nearest neighbours and their distance in Å.
Fractional positions:
Ba (0.0000, 0.0000, 0.0000)  8 P 3.42, 4 O 3.73
P (0.0000, 0.5000, 0.5000)  2 I 2.64
P (0.5000, 0.0000, 0.5000)  2 I 2.64
I (0.5000, 0.5000, 0.5000)  2 O 2.18
O (0.5000, 0.5000, 0.0000)  2 I 2.18

---

The following is a PBE-GGA calculation of a relaxed ReRu crystal, from the Alexandria database.

Results
For the calculated density, the calculation gives 16.19 g/cm3. As for the final energy: -10.753 eV/atom. The energy relative to the elements is 0.109 eV per atom.

Unit cell a=2.7488 b=10.0918 c=4.2496 alpha=90.00 beta=90.00 gamma=90.00
Last column: nearest neighbours and their distance in Å.
Fractional positions:
Re (0.0000, 0.0699, 0.2500)  4 Re 2.55-2.75, 7 Ru 2.64-2.77
Re (0.0000, 0.9301, 0.7500)  4 Re 2.55-2.75, 7 Ru 2.64-2.77
Re (0.5000, 0.4301, 0.7500)  4 Re 2.55-2.75, 7 Ru 2.64-2.77
Re (0.5000, 0.5699, 0.2500)  4 Re 2.55-2.75, 7 Ru 2.64-2.77
Ru (0.0000, 0.3315, 0.2500)  7 Re 2.64-2.77, 2 Ru 2.75
Ru (0.0000, 0.6685, 0.7500)  7 Re 2.64-2.77, 2 Ru 2.75
Ru (0.5000, 0.1685, 0.7500)  7 Re 2.64-2.77, 2 Ru 2.75
Ru (0.5000, 0.8315, 0.2500)  7 Re 2.64-2.77, 2 Ru 2.75

---

The following is a PBE-GGA calculation of a relaxed TbGaNi4 crystal, from the Alexandria database.

Results
For the calculated density, the calculation gives 8.92 g/cm3. As for the final energy: -5.578 eV/atom. The energy relative to the elements is -0.447 eV per atom.

Unit cell a=8.6260 b=8.6260 c=4.0159 alpha=90.00 beta=90.00 gamma=120.00
Last column: nearest neighbours and their distance in Å.
Fractional positions:
Tb (0.0000, 0.0000, 0.0000)  6 Ni 2.70
Tb (0.3333, 0.6667, 0.5000)  12 Ni 3.00-3.04, 6 Ga 3.20
Tb (0.6667, 0.3333, 0.5000)  12 Ni 3.00-3.04, 6 Ga 3.20
Ga (0.0000, 0.5000, 0.0000)  8 Ni 2.39-2.61
Ga (0.5000, 0.0000, 0.0000)  8 Ni 2.39-2.61
Ga (0.5000, 0.5000, 0.0000)  8 Ni 2.39-2.61
Ni (0.0000, 0.3065, 0.5000)  6 Ni 2.44-2.64, 2 Ga 2.61
Ni (0.0000, 0.6935, 0.5000)  6 Ni 2.44-2.64, 2 Ga 2.61
Ni (0.1806, 0.3612, 0.0000)  2 Ga 2.39, 4 Ni 2.44
Ni (0.1806, 0.8194, 0.0000)  2 Ga 2.39, 4 Ni 2.44
Ni (0.3065, 0.0000, 0.5000)  6 Ni 2.44-2.64, 2 Ga 2.61
Ni (0.3065, 0.3065, 0.5000)  6 Ni 2.44-2.64, 2 Ga 2.61
Ni (0.3612, 0.1806, 0.0000)  2 Ga 2.39, 4 Ni 2.44
Ni (0.6388, 0.8194, 0.0000)  2 Ga 2.39, 4 Ni 2.44
Ni (0.6935, 0.0000, 0.5000)  6 Ni 2.44-2.64, 2 Ga 2.61
Ni (0.6935, 0.6935, 0.5000)  6 Ni 2.44-2.64, 2 Ga 2.61
Ni (0.8194, 0.1806, 0.0000)  2 Ga 2.39, 4 Ni 2.44
Ni (0.8194, 0.6388, 0.0000)  2 Ga 2.39, 4 Ni 2.44

---

The following is a PBE-GGA calculation of a relaxed KNi crystal, from the Alexandria database.

Results
For the calculated density, the calculation gives 1.63 g/cm3. The distance to the lowest polymorph of the same formula comes out at 801 meV/atom. As for the final energy: -2.126 eV/atom. The energy relative to the elements is 1.313 eV per atom.

Unit cell a=5.8171 b=5.8171 c=6.7802 alpha=90.00 beta=90.00 gamma=120.00
Last column: nearest neighbours and their distance in Å.
Fractional positions:
K (0.3333, 0.6667, 0.0000)  5 Ni 3.36-3.40
K (0.6667, 0.3333, 0.5000)  5 Ni 3.36-3.40
Ni (0.3333, 0.6667, 0.4982)  5 K 3.36-3.40
Ni (0.6667, 0.3333, 0.9982)  5 K 3.36-3.40

---

The following is a PBE-GGA calculation of a relaxed ZrHg2Se crystal, from the Alexandria database.

Results
For the calculated density, the calculation gives 10.91 g/cm3. As for the final energy: -3.348 eV/atom.

Unit cell a=4.4087 b=4.4087 c=8.9526 alpha=90.00 beta=90.00 gamma=90.00
Last column: nearest neighbours and their distance in Å.
Fractional positions:
Zr (0.0000, 0.0000, 0.0000)  8 Hg 3.12-3.14, 4 Se 3.14
Zr (0.5000, 0.5000, 0.5000)  8 Hg 3.12-3.14, 4 Se 3.14
Hg (0.0000, 0.0000, 0.5000)  4 Zr 3.12, 4 Se 3.14, 4 Hg 3.14
Hg (0.0000, 0.5000, 0.7500)  4 Se 3.12, 4 Zr 3.14, 4 Hg 3.14
Hg (0.5000, 0.0000, 0.2500)  4 Se 3.12, 4 Hg 3.14, 4 Zr 3.14
Hg (0.5000, 0.5000, 0.0000)  4 Zr 3.12, 4 Hg 3.14, 4 Se 3.14
Se (0.0000, 0.5000, 0.2500)  8 Hg 3.12-3.14, 4 Zr 3.14
Se (0.5000, 0.0000, 0.7500)  8 Hg 3.12-3.14, 4 Zr 3.14

---

The following is a PBE-GGA calculation of a relaxed Ca2AuN crystal, from the Alexandria database.

Results
For the calculated density, the calculation gives 6.73 g/cm3. As for the final energy: -4.451 eV/atom.

Unit cell a=3.1553 b=3.1553 c=7.2134 alpha=90.00 beta=90.00 gamma=90.00
Last column: nearest neighbours and their distance in Å.
Fractional positions:
Ca (0.0000, 0.0000, 0.1839)  4 N 2.60, 1 Ca 2.65
Ca (0.0000, 0.0000, 0.8161)  4 N 2.60, 1 Ca 2.65
Au (0.5000, 0.5000, 0.5000)  4 Au 3.16, 8 Ca 3.19
N (0.5000, 0.5000, 0.0000)  8 Ca 2.60

---

The following is a PBE-GGA calculation of a relaxed Ac2TeO2 crystal, from the Alexandria database.

Results
For the calculated density, the calculation gives 8.20 g/cm3. As for the final energy: -7.230 eV/atom.

Unit cell a=4.2636 b=4.2636 c=13.6763 alpha=90.00 beta=90.00 gamma=90.00
Last column: nearest neighbours and their distance in Å.
Fractional positions:
Ac (0.0000, 0.0000, 0.1573)  4 O 2.48
Ac (0.0000, 0.0000, 0.8427)  4 O 2.48
Ac (0.5000, 0.5000, 0.3427)  4 O 2.48
Ac (0.5000, 0.5000, 0.6573)  4 O 2.48
Te (0.0000, 0.0000, 0.5000)  8 Ac 3.70, 8 O 4.03
Te (0.5000, 0.5000, 0.0000)  8 Ac 3.70, 8 O 4.03
O (0.0000, 0.5000, 0.2500)  4 Ac 2.48
O (0.0000, 0.5000, 0.7500)  4 Ac 2.48
O (0.5000, 0.0000, 0.2500)  4 Ac 2.48
O (0.5000, 0.0000, 0.7500)  4 Ac 2.48

---

The following is a PBE-GGA calculation of a relaxed MgCuAu2 crystal, from the Alexandria database.

Results
For the calculated density, the calculation gives 11.92 g/cm3. As for the final energy: -3.322 eV/atom. The energy relative to the elements is -0.261 eV per atom.

Unit cell a=6.4506 b=6.4506 c=6.4506 alpha=90.00 beta=90.00 gamma=90.00
Last column: nearest neighbours and their distance in Å.
Fractional positions:
Mg (0.0000, 0.0000, 0.0000)  4 Cu 2.79, 4 Au 2.79
Mg (0.0000, 0.5000, 0.5000)  4 Cu 2.79, 4 Au 2.79
Mg (0.5000, 0.0000, 0.5000)  4 Cu 2.79, 4 Au 2.79
Mg (0.5000, 0.5000, 0.0000)  4 Cu 2.79, 4 Au 2.79
Cu (0.2500, 0.2500, 0.7500)  4 Mg 2.79, 4 Au 2.79
Cu (0.2500, 0.7500, 0.2500)  4 Mg 2.79, 4 Au 2.79
Cu (0.7500, 0.2500, 0.2500)  4 Mg 2.79, 4 Au 2.79
Cu (0.7500, 0.7500, 0.7500)  4 Mg 2.79, 4 Au 2.79
Au (0.0000, 0.0000, 0.5000)  4 Cu 2.79, 4 Au 2.79
Au (0.0000, 0.5000, 0.0000)  4 Cu 2.79, 4 Au 2.79
Au (0.2500, 0.2500, 0.2500)  4 Mg 2.79, 4 Au 2.79
Au (0.2500, 0.7500, 0.7500)  4 Mg 2.79, 4 Au 2.79
Au (0.5000, 0.0000, 0.0000)  4 Cu 2.79, 4 Au 2.79
Au (0.5000, 0.5000, 0.5000)  4 Cu 2.79, 4 Au 2.79
Au (0.7500, 0.2500, 0.7500)  4 Mg 2.79, 4 Au 2.79
Au (0.7500, 0.7500, 0.2500)  4 Mg 2.79, 4 Au 2.79

---

The following is a PBE-GGA calculation of a relaxed MgTa3Se crystal, from the Alexandria database.

Results
For the calculated density, the calculation gives 9.84 g/cm3. The distance to the lowest polymorph of the same formula comes out at 1129 meV/atom. As for the final energy: -6.144 eV/atom.

Unit cell a=4.7780 b=4.7780 c=4.7780 alpha=90.00 beta=90.00 gamma=90.00
Last column: nearest neighbours and their distance in Å.
Fractional positions:
Mg (0.0000, 0.0000, 0.0000)  6 Ta 2.39
Ta (0.0000, 0.0000, 0.5000)  2 Mg 2.39
Ta (0.0000, 0.5000, 0.0000)  2 Mg 2.39
Ta (0.5000, 0.0000, 0.0000)  2 Mg 2.39
Se (0.5000, 0.5000, 0.5000)  12 Ta 3.38

---

The following is a PBE-GGA calculation of a relaxed NaErPt2 crystal, from the Alexandria database.

Results
For the calculated density, the calculation gives 11.74 g/cm3. As for the final energy: -5.240 eV/atom. The energy relative to the elements is -0.749 eV per atom.

Unit cell a=3.3930 b=3.3930 c=7.1319 alpha=90.00 beta=90.00 gamma=90.00
Last column: nearest neighbours and their distance in Å.
Fractional positions:
Na (0.0000, 0.0000, 0.0000)  8 Pt 3.09, 4 Na 3.39
Er (0.0000, 0.0000, 0.5000)  8 Pt 2.89
Pt (0.5000, 0.5000, 0.2739)  4 Er 2.89, 4 Na 3.09, 1 Pt 3.23
Pt (0.5000, 0.5000, 0.7261)  4 Er 2.89, 4 Na 3.09, 1 Pt 3.23

---

The following is a PBE-GGA calculation of a relaxed MgReBr crystal, from the Alexandria database.

Results
For the calculated density, the calculation gives 6.40 g/cm3. The distance to the lowest polymorph of the same formula comes out at 19 meV/atom. As for the final energy: -5.455 eV/atom.

Unit cell a=3.7046 b=3.7046 c=12.6735 alpha=90.00 beta=90.00 gamma=120.00
Last column: nearest neighbours and their distance in Å.
Fractional positions:
Mg (0.0000, 0.0000, 0.0000)  3 Br 2.69
Mg (0.3333, 0.6667, 0.5562)  3 Br 2.67
Re (0.0000, 0.0000, 0.7359)  3 Re 2.40
Re (0.3333, 0.6667, 0.8222)  3 Re 2.40
Br (0.3333, 0.6667, 0.1281)  3 Mg 2.69
Br (0.6667, 0.3333, 0.4304)  3 Mg 2.67

---

The following is a PBE-GGA calculation of a relaxed Tl3In4 crystal, from the Alexandria database.

Results
For the calculated density, the calculation gives 8.85 g/cm3. The distance to the lowest polymorph of the same formula comes out at 0 meV/atom. As for the final energy: -2.562 eV/atom. The energy relative to the elements is 0.017 eV per atom.

Unit cell a=4.8515 b=4.5204 c=18.4770 alpha=90.00 beta=96.84 gamma=90.00
Last column: nearest neighbours and their distance in Å.
Fractional positions:
Tl (0.0000, 0.0000, 0.0000)  4 Tl 3.32, 8 In 3.49-3.65
Tl (0.2047, 0.5000, 0.4234)  7 Tl 3.32-3.65, 4 In 3.47-3.59
Tl (0.2953, 0.0000, 0.5766)  7 Tl 3.32-3.65, 4 In 3.47-3.59
Tl (0.5000, 0.5000, 0.0000)  4 Tl 3.32, 8 In 3.49-3.65
Tl (0.7047, 0.0000, 0.4234)  7 Tl 3.32-3.65, 4 In 3.47-3.59
Tl (0.7953, 0.5000, 0.5766)  7 Tl 3.32-3.65, 4 In 3.47-3.59
In (0.0818, 0.5000, 0.1452)  8 In 3.32-3.49, 4 Tl 3.49-3.65
In (0.1356, 0.0000, 0.2799)  8 In 3.32-3.49, 4 Tl 3.47-3.59
In (0.3644, 0.5000, 0.7201)  8 In 3.32-3.49, 4 Tl 3.47-3.59
In (0.4182, 0.0000, 0.8548)  8 In 3.32-3.49, 4 Tl 3.49-3.65
In (0.5818, 0.0000, 0.1452)  8 In 3.32-3.49, 4 Tl 3.49-3.65
In (0.6356, 0.5000, 0.2799)  8 In 3.32-3.49, 4 Tl 3.47-3.59
In (0.8644, 0.0000, 0.7201)  8 In 3.32-3.49, 4 Tl 3.47-3.59
In (0.9182, 0.5000, 0.8548)  8 In 3.32-3.49, 4 Tl 3.49-3.65

---

The following is a PBE-GGA calculation of a relaxed BaTbIn2Sn2 crystal, from the Alexandria database.

Results
For the calculated density, the calculation gives 6.60 g/cm3. As for the final energy: -3.800 eV/atom. The energy relative to the elements is -0.461 eV per atom.

Unit cell a=4.7228 b=4.7228 c=9.9415 alpha=90.00 beta=90.00 gamma=120.00
Last column: nearest neighbours and their distance in Å.
Fractional positions:
Ba (0.0000, 0.0000, 0.0000)  6 In 3.51
Tb (0.0000, 0.0000, 0.5000)  6 Sn 3.19
In (0.3333, 0.6667, 0.7771)  3 Sn 2.94
In (0.6667, 0.3333, 0.2229)  3 Sn 2.94
Sn (0.3333, 0.6667, 0.3340)  3 In 2.94, 3 Tb 3.19
Sn (0.6667, 0.3333, 0.6660)  3 In 2.94, 3 Tb 3.19